## i
DFT (PBE) results for crystalline FeSbPdW at its relaxed geometry.

Total magnetization in μB per atom: 0.188
Calculated volume in Å³/atom: 15.9

a = 4.4817 Å, b = 4.4817 Å, c = 4.4817 Å
α = 60.00°, β = 60.00°, γ = 60.00°
With the nearest neighbours (Å) after each atom.
Sites, in units of the cell vectors:
1 Fe 0.7500 0.7500 0.7500  4 W 2.74, 4 Sb 2.74
2 Sb 0.0000 0.0000 0.0000  4 Fe 2.74, 4 Pd 2.74
3 Pd 0.2500 0.2500 0.2500  4 W 2.74, 4 Sb 2.74
4 W 0.5000 0.5000 0.5000  4 Fe 2.74, 4 Pd 2.74


## ii
DFT (PBE) results for crystalline FeSbPdW at its relaxed geometry.

Total magnetization in μB per atom: 0.477
Calculated volume in Å³/atom: 16.0

a = 4.4902 Å, b = 4.4902 Å, c = 4.4902 Å
α = 60.00°, β = 60.00°, γ = 60.00°
With the nearest neighbours (Å) after each atom.
Sites, in units of the cell vectors:
1 W 0.2500 0.2500 0.2500  4 Pd 2.75, 4 Sb 2.75
2 Pd 0.5000 0.5000 0.5000  4 Fe 2.75, 4 W 2.75
3 Sb 0.0000 0.0000 0.0000  4 Fe 2.75, 4 W 2.75
4 Fe 0.7500 0.7500 0.7500  4 Pd 2.75, 4 Sb 2.75


Which of them is the most stable? Correct choice: ii.